1.
# LaAgSn

A relaxed LaAgSn crystal (PBE, Alexandria).

Lattice parameters (Å, degrees): 5.1299 5.2599 6.5581 89.99 89.87 72.08
Space group P1 (No. 1)
Unique sites:
La (0.0000, 0.0000, 0.0000) x1
La (0.3162, 0.3096, 0.5004) x1
Ag (0.6432, 0.6686, 0.2511) x1
Ag (0.6676, 0.6461, 0.7510) x1
Sn (0.3764, 0.3853, 0.0004) x1
Sn (0.9401, 0.9240, 0.4995) x1

Total magnetization ... 0.0 μB/cell
DFT formation energy ... -0.4622 eV/atom
Calculated density ... 7.21 g/cm³

2.
# Li2SiHgBi

A relaxed Li2SiHgBi crystal (PBE, Alexandria).

Lattice parameters (Å, degrees): 5.0984 5.0984 5.7974 90.00 90.00 90.00
Space group P4/mmm (No. 123)
Unique sites:
Li (0.0000, 0.5000, 0.0000) x2
Si (0.0000, 0.0000, 0.5000) x1
Hg (0.5000, 0.5000, 0.5000) x1
Bi (0.5000, 0.5000, 0.0000) x1

Total magnetization ... 0.7 μB/cell
Formation energy from raw total energies ... 548 meV/atom
Calculated density ... 4.98 g/cm³

3.
# CaHgPt2

A relaxed CaHgPt2 crystal (PBE, Alexandria).

Lattice parameters (Å, degrees): 3.0341 4.3947 5.7385 90.00 90.00 90.00
Space group Pmm2 (No. 25)
Unique sites:
Ca (0.0000, 0.0000, 0.0000) x1
Hg (0.5000, 0.5000, 0.2923) x1
Pt (0.0000, 0.0000, 0.5111) x1
Pt (0.5000, 0.5000, 0.7776) x1

Total magnetization ... 0.0 μB/cell
DFT formation energy ... -0.3746 eV/atom
Calculated density ... 13.69 g/cm³

4.
# PRuCl

A relaxed PRuCl crystal (PBE, Alexandria).

Lattice parameters (Å, degrees): 5.8285 5.8285 5.8285 90.00 90.00 90.00
Space group F-43m (No. 216)
Unique sites:
P (0.0000, 0.0000, 0.0000) x4
Ru (0.2500, 0.2500, 0.7500) x4
Cl (0.0000, 0.0000, 0.5000) x4

Total magnetization ... 0.0 μB/cell
Formation energy from raw total energies ... 98 meV/atom
Calculated density ... 5.62 g/cm³

5.
# BiRuRhO6

A relaxed BiRuRhO6 crystal (PBE, Alexandria).

Lattice parameters (Å, degrees): 4.7805 4.7805 9.7821 90.00 90.00 90.00
Space group P4_2nm (No. 102)
Unique sites:
Bi (0.0000, 0.0000, 0.0000) x2
Ru (0.0000, 0.0000, 0.3319) x2
Rh (0.0000, 0.0000, 0.6673) x2
O (0.1723, 0.1723, 0.4978) x4
O (0.2007, 0.2007, 0.1816) x4
O (0.2087, 0.2087, 0.8210) x4

Total magnetization ... 2.0 μB/cell
Formation energy from raw total energies ... -877 meV/atom
Calculated density ... 7.56 g/cm³

6.
# BaV2Cl6

A relaxed BaV2Cl6 crystal (PBE, Alexandria).

Lattice parameters (Å, degrees): 6.5347 6.5347 6.6783 90.00 90.00 120.00
Space group P-31m (No. 162)
Unique sites:
Ba (0.0000, 0.0000, 0.0000) x1
V (0.3333, 0.6667, 0.5000) x2
Cl (0.0000, 0.3714, 0.7095) x6

Total magnetization ... 6.0 μB/cell
Formation energy from raw total energies ... -1574 meV/atom
Calculated density ... 3.04 g/cm³

7.
# AcTlAgS3

A relaxed AcTlAgS3 crystal (PBE, Alexandria).

Lattice parameters (Å, degrees): 4.4391 12.3897 11.7986 90.00 90.00 90.00
Space group Cmcm (No. 63)
Unique sites:
Ac (0.0000, 0.0000, 0.0000) x4
Tl (0.0000, 0.2714, 0.2500) x4
Ag (0.0000, 0.4273, 0.7500) x4
S (0.0000, 0.0479, 0.7500) x4
S (0.0000, 0.3501, 0.5572) x8

Total magnetization ... 0.0 μB/cell
Formation energy from raw total energies ... -896 meV/atom
Calculated density ... 6.50 g/cm³

8.
# Rb3BSe3O12

A relaxed Rb3BSe3O12 crystal (PBE, Alexandria).

Lattice parameters (Å, degrees): 7.6903 15.6444 23.9531 90.00 90.00 90.00
Space group Ibca (No. 73)
Unique sites:
Rb (0.1353, 0.1159, 0.1760) x16
Rb (0.2500, 0.0600, 0.5000) x8
B (0.0000, 0.2500, 0.4202) x8
Se (0.1415, 0.1259, 0.3435) x16
Se (0.2500, 0.1848, 0.0000) x8
O (0.0203, 0.0851, 0.2933) x16
O (0.0216, 0.1705, 0.8894) x16
O (0.1015, 0.1281, 0.0323) x16
O (0.1609, 0.2382, 0.4558) x16
O (0.2244, 0.2022, 0.6766) x16
O (0.2396, 0.0511, 0.3809) x16

Total magnetization ... 0.2 μB/cell
Formation energy from raw total energies ... -1283 meV/atom
Calculated density ... 3.21 g/cm³

9.
# Pm8Mg2Cu

A relaxed Pm8Mg2Cu crystal (PBE, Alexandria).

Lattice parameters (Å, degrees): 18.3254 5.4323 6.9684 90.00 105.00 90.00
Space group C2/m (No. 12)
Unique sites:
Pm (0.0185, 0.0000, 0.2729) x4
Pm (0.0924, 0.5000, 0.9412) x4
Pm (0.1508, 0.5000, 0.4520) x4
Pm (0.1984, 0.0000, 0.7769) x4
Mg (0.1890, 0.0000, 0.2262) x4
Cu (0.0000, 0.5000, 0.5000) x2

Total magnetization ... 0.0 μB/cell
DFT formation energy ... 0.0169 eV/atom
Calculated density ... 6.31 g/cm³

10.
# LaGdMnCu

A relaxed LaGdMnCu crystal (PBE, Alexandria).

Lattice parameters (Å, degrees): 7.2049 7.2049 7.2049 90.00 90.00 90.00
Space group F-43m (No. 216)
Unique sites:
La (0.0000, 0.0000, 0.0000) x4
Gd (0.0000, 0.0000, 0.5000) x4
Mn (0.2500, 0.2500, 0.7500) x4
Cu (0.2500, 0.2500, 0.2500) x4

Total magnetization ... 17.5 μB/cell
DFT formation energy ... 0.0721 eV/atom
Calculated density ... 7.36 g/cm³